Computed, not measured: NaU2Br6 after structural relaxation at the PBE level of DFT. Values from VASP.

Values from the calculation:
**E_form (uncorrected)**: -1.211 eV per atom
**Crystal system**: monoclinic
**Energy**: -4.981 eV/atom
**Total magnetization**: 7.00 μB/f.u.

The structure in Quantum ESPRESSO input format:
```
&SYSTEM
  ibrav = 0, nat = 9, ntyp = 3
/
ATOMIC_SPECIES
Br 79.90 Br.upf
U 238.03 U.upf
Na 22.99 Na.upf
CELL_PARAMETERS angstrom
-2.820 -1.341 2.340
-1.117 -4.488 -7.170
6.962 -4.773 5.654
ATOMIC_POSITIONS angstrom
Br -1.310 -3.310 -0.223
Br 1.793 -4.776 2.677
Br 4.336 -7.291 1.047
Br 1.232 -5.825 -1.853
U 3.629 -6.612 3.837
Na 0.662 -3.727 5.167
Br 5.492 -4.360 4.119
Br -2.466 -6.241 -3.294
U -0.604 -3.989 -3.013
```